# RbCSe2N

RbCSe2N after structural relaxation (PBE, Alexandria via LeMat-Bulk).

abc: 4.317 4.317 5.940
angles: 90.00 90.00 90.00
Sites, in units of the cell vectors:
Rb: 0.000 0.000 0.000
C: 0.500 0.500 0.500
Se: 0.000 0.500 0.500
Se: 0.500 0.000 0.500
N: 0.500 0.500 0.000

## Properties
Uncorrected formation energy, eV per atom: 1.449
Space group: P4/mmm (123)
E above lowest polymorph, meV/atom: 0
Crystal system: tetragonal